[1]
The following is a PBE-GGA calculation of a relaxed SiAgBr2 crystal, from the Alexandria database.

Output
* crystal system: trigonal
* energy above the most stable polymorph in this dataset: 0.3115 eV per atom

Cell: 4.4030 4.4030 17.8831 Å, 90.00 90.00 120.00°
Space group R-3m (No. 166, hexagonal axes)
Unique sites:
Si (0.0000, 0.0000, 0.0000) (multiplicity 3)
Ag (0.0000, 0.0000, 0.5000) (multiplicity 3)
Br (0.0000, 0.0000, 0.2547) (multiplicity 6)



[2]
The following is a PBE-GGA calculation of a relaxed CaRe2Mo crystal, from the Alexandria database.

Output
* crystal system: orthorhombic
* energy relative to the elements: 1.9 eV/f.u.
* energy above the most stable polymorph in this dataset: 0.0000 eV per atom

Cell: 3.1866 4.4948 9.5782 Å, 90.00 90.00 90.00°
Space group Cmmm (No. 65)
Unique sites:
Ca (0.0000, 0.0000, 0.0000) (multiplicity 2)
Re (0.0000, 0.5000, 0.2729) (multiplicity 4)
Mo (0.0000, 0.0000, 0.5000) (multiplicity 2)



[3]
The following is a PBE-GGA calculation of a relaxed Rb2BaTl2Se4 crystal, from the Alexandria database.

Output
* crystal system: monoclinic
* uncorrected energy: -3.446 eV per atom

Cell: 17.1640 5.1434 8.0757 Å, 90.00 106.07 90.00°
Space group C2/m (No. 12)
Unique sites:
Rb (0.1308, 0.0000, 0.0678) (multiplicity 4)
Ba (0.0000, 0.0000, 0.5000) (multiplicity 2)
Tl (0.1732, 0.5000, 0.5272) (multiplicity 4)
Se (0.0319, 0.5000, 0.2564) (multiplicity 4)
Se (0.2042, 0.0000, 0.6849) (multiplicity 4)